# 1
Tb8Ni2Pt: relaxed, PBE.

Output
Fermi-level density of states (states/eV per cell): 27.741
Calculated volume (A^3/atom): 26.77
Energy of formation (eV per atom): -0.28
Offset from the most stable computed form (meV/atom): 94

Unit cell a=8.2356 b=12.6328 c=5.9607 alpha=90.00 beta=108.23 gamma=90.00
Space group Cm (No. 8)
Symmetry-distinct sites (fractional):
1 Tb 0.0000 0.0000 0.0000 (multiplicity 2)
2 Tb 0.0764 0.3690 0.7731 (multiplicity 4)
3 Tb 0.1528 0.1304 0.5745 (multiplicity 4)
4 Tb 0.2304 0.5000 0.3642 (multiplicity 2)
5 Tb 0.3640 0.2162 0.1808 (multiplicity 4)
6 Ni 0.3655 0.3063 0.6821 (multiplicity 4)
7 Pt 0.3665 0.0000 0.3449 (multiplicity 2)


# 2
MnSn3Se: relaxed, PBE.

Output
Fermi-level density of states (states/eV per cell): 3.838
Calculated volume (A^3/atom): 34.87
Formation energy without anion corrections (eV/atom): 0.75
Offset from the most stable computed form (meV/atom): 679

Unit cell a=5.5865 b=5.5865 c=5.5865 alpha=90.00 beta=90.00 gamma=90.00
Space group Pm-3m (No. 221)
Symmetry-distinct sites (fractional):
1 Mn 0.0000 0.0000 0.0000 (multiplicity 1)
2 Sn 0.0000 0.5000 0.5000 (multiplicity 3)
3 Se 0.5000 0.5000 0.5000 (multiplicity 1)


# 3
ScSiIr: relaxed, PBE.

Output
Fermi-level density of states (states/eV per cell): 3.664
Calculated volume (A^3/atom): 16.10
Formation energy without anion corrections (eV/atom): -1.15

Unit cell a=6.4829 b=4.0702 c=7.3197 alpha=90.00 beta=90.00 gamma=90.00
Space group Pnma (No. 62)
Symmetry-distinct sites (fractional):
1 Sc 0.0112 0.2500 0.1856 (multiplicity 4)
2 Si 0.2119 0.7500 0.3795 (multiplicity 4)
3 Ir 0.1602 0.2500 0.5605 (multiplicity 4)


# 4
Hf2ThSn: relaxed, PBE.

Output
Fermi-level density of states (states/eV per cell): 4.270
Calculated volume (A^3/atom): 24.19
Energy of formation (eV per atom): -0.19
Offset from the most stable computed form (meV/atom): 0

Unit cell a=4.7663 b=4.7663 c=4.2597 alpha=90.00 beta=90.00 gamma=90.00
Space group P4/mmm (No. 123)
Symmetry-distinct sites (fractional):
1 Hf 0.0000 0.5000 0.0000 (multiplicity 2)
2 Th 0.0000 0.0000 0.5000 (multiplicity 1)
3 Sn 0.5000 0.5000 0.5000 (multiplicity 1)


# 5
RbCdSbF6: relaxed, PBE.

Output
Fermi-level density of states (states/eV per cell): 0.000
Calculated volume (A^3/atom): 19.70
Formation energy without anion corrections (eV/atom): -2.41

Unit cell a=5.3538 b=6.1798 c=6.1852 alpha=60.04 beta=89.96 gamma=89.94
Space group P1 (No. 1)
Symmetry-distinct sites (fractional):
1 Rb 0.0000 0.0000 0.0000 (multiplicity 1)
2 Cd 0.5530 0.3334 0.3329 (multiplicity 1)
3 Sb 0.5047 0.6667 0.6665 (multiplicity 1)
4 F 0.3618 0.0228 0.6602 (multiplicity 1)
5 F 0.3626 0.3164 0.0224 (multiplicity 1)
6 F 0.3632 0.6619 0.3162 (multiplicity 1)
7 F 0.7551 0.4342 0.6102 (multiplicity 1)
8 F 0.7550 0.6104 0.9547 (multiplicity 1)
9 F 0.7552 0.9544 0.4350 (multiplicity 1)


# 6
NdHoAg4: relaxed, PBE.

Output
Fermi-level density of states (states/eV per cell): 5.939
Calculated volume (A^3/atom): 22.45
Energy of formation (eV per atom): -0.28
Offset from the most stable computed form (meV/atom): 1

Unit cell a=5.3532 b=9.4117 c=5.3479 alpha=90.00 beta=90.06 gamma=90.00
Space group C2/m (No. 12)
Symmetry-distinct sites (fractional):
1 Nd 0.0000 0.0000 0.0000 (multiplicity 2)
2 Ho 0.0000 0.5000 0.5000 (multiplicity 2)
3 Ag 0.0000 0.1752 0.5000 (multiplicity 4)
4 Ag 0.0000 0.3315 0.0000 (multiplicity 4)


# 7
Ba2HgPb2: relaxed, PBE.

Output
Fermi-level density of states (states/eV per cell): 9.113
Calculated volume (A^3/atom): 40.70
Energy of formation (eV per atom): -0.28
Offset from the most stable computed form (meV/atom): 252

Unit cell a=4.4827 b=4.4827 c=20.2548 alpha=90.00 beta=90.00 gamma=90.00
Space group I4/mmm (No. 139)
Symmetry-distinct sites (fractional):
1 Ba 0.0000 0.0000 0.1000 (multiplicity 4)
2 Hg 0.0000 0.0000 0.5000 (multiplicity 2)
3 Pb 0.0000 0.5000 0.2500 (multiplicity 4)


# 8
EuLuCdPt: relaxed, PBE.

Output
Fermi-level density of states (states/eV per cell): 31.271
Calculated volume (A^3/atom): 23.73
Energy of formation (eV per atom): -0.63

Unit cell a=7.2406 b=7.2406 c=7.2406 alpha=90.00 beta=90.00 gamma=90.00
Space group F-43m (No. 216)
Symmetry-distinct sites (fractional):
1 Eu 0.0000 0.0000 0.0000 (multiplicity 4)
2 Lu 0.0000 0.0000 0.5000 (multiplicity 4)
3 Cd 0.2500 0.2500 0.7500 (multiplicity 4)
4 Pt 0.2500 0.2500 0.2500 (multiplicity 4)